# 1
Entry from Alexandria via LeMat-Bulk: a relaxed structure of KScTa (GGA-PBE).

The space group is P3m1 (No. 156) and the conventional cell measures 3.1557, 3.1557 and 9.1083 Å, with angles of 90.00, 90.00 and 120.00 degrees. The distinct sites, in fractional coordinates, are K at (0.0000, 0.0000, 0.0000), Sc at (0.6667, 0.3333, 0.3931) and Ta at (0.3333, 0.6667, 0.6481).

The calculation puts the size of the total moment at 0.00 μB/f.u. The energy of formation comes out at 0.6966 eV/atom. For the polymorph energy (0 for the lowest one), the calculation gives 0.0783 eV per atom.

=====

# 2
Entry from Alexandria via LeMat-Bulk: a relaxed structure of Rb2SrNpBr8 (GGA-PBE).

The space group is P2/m (No. 10) and the conventional cell measures 7.216, 9.321 and 7.892 Å, with angles of 90.00, 92.09 and 90.00 degrees. The distinct sites, in fractional coordinates, are Rb at (0.000, 0.249, 0.000), Sr at (0.500, 0.000, 0.500), Np at (0.500, 0.500, 0.500), Br at (0.260, 0.000, 0.191), Br at (0.277, 0.279, 0.623) and Br at (0.298, 0.500, 0.197).

The calculation puts the size of the total moment at 3.00 μB/f.u. The value obtained for the uncorrected formation energy is -1.61 eV per atom.

=====

# 3
Entry from Alexandria via LeMat-Bulk: a relaxed structure of Co2AgRh (GGA-PBE).

The space group is I4/mmm (No. 139) and the conventional cell measures 3.843, 3.843 and 7.387 Å, with angles of 90.00, 90.00 and 90.00 degrees. The distinct sites, in fractional coordinates, are Co at (0.000, 0.500, 0.250), Ag at (0.000, 0.000, 0.000) and Rh at (0.000, 0.000, 0.500).

The calculation puts the size of the total moment at 4.60 μB/f.u. The energy of formation comes out at 0.3299 eV/atom.

=====

# 4
Entry from Alexandria via LeMat-Bulk: a relaxed structure of LaSbAs2 (GGA-PBE).

The space group is C2/m (No. 12) and the conventional cell measures 11.400, 4.032 and 5.116 Å, with angles of 90.00, 99.04 and 90.00 degrees. The distinct sites, in fractional coordinates, are La at (0.000, 0.000, 0.000), Sb at (0.000, 0.500, 0.500) and As at (0.232, 0.500, 0.837).

The calculation puts the size of the total moment at 0.00 μB/f.u. The value obtained for the uncorrected formation energy is -0.56 eV per atom.

=====

# 5
Entry from Alexandria via LeMat-Bulk: a relaxed structure of CaHgMo2 (GGA-PBE).

The space group is P2/m (No. 10) and the conventional cell measures 2.926, 5.242 and 5.199 Å, with angles of 90.00, 94.55 and 90.00 degrees. The distinct sites, in fractional coordinates, are Ca at (0.000, 0.000, 0.000), Hg at (0.500, 0.000, 0.500) and Mo at (0.354, 0.500, 0.770).

The calculation puts the size of the total moment at 0.00 μB/f.u. The energy of formation comes out at 0.5868 eV/atom.

=====

# 6
Entry from Alexandria via LeMat-Bulk: a relaxed structure of La2Pr2Sm (GGA-PBE).

The space group is Cmcm (No. 63) and the conventional cell measures 7.066, 16.423 and 6.506 Å, with angles of 90.00, 90.00 and 90.00 degrees. The distinct sites, in fractional coordinates, are La at (0.234, 0.168, 0.250), Pr at (0.000, 0.171, 0.750), Pr at (0.000, 0.408, 0.250) and Sm at (0.000, 0.000, 0.000).

The calculation puts the size of the total moment at 0.00 μB/f.u. The energy of formation comes out at 0.2588 eV/atom. For the polymorph energy (0 for the lowest one), the calculation gives 0.2419 eV per atom.

=====

# 7
Entry from Alexandria via LeMat-Bulk: a relaxed structure of PmDy8 (GGA-PBE).

The space group is I4/mmm (No. 139) and the conventional cell measures 10.666, 10.666 and 5.015 Å, with angles of 90.00, 90.00 and 90.00 degrees. The distinct sites, in fractional coordinates, are Pm at (0.000, 0.000, 0.000), Dy at (0.000, 0.334, 0.000) and Dy at (0.167, 0.167, 0.500).

The calculation puts the size of the total moment at 0.00 μB/f.u. The energy of formation comes out at 0.0182 eV/atom.

=====

# 8
Entry from Alexandria via LeMat-Bulk: a relaxed structure of Cs3Sm3ZrSe8 (GGA-PBE).

The space group is R-3m (No. 166, hexagonal axes) and the conventional cell measures 8.4466, 8.4466 and 25.6783 Å, with angles of 90.00, 90.00 and 120.00 degrees. The distinct sites, in fractional coordinates, are Cs at (0.0000, 0.5000, 0.0000), Sm at (0.0000, 0.5000, 0.5000), Zr at (0.0000, 0.0000, 0.5000), Se at (0.0000, 0.0000, 0.2297) and Se at (0.0201, 0.5100, 0.2269).

The calculation puts the size of the total moment at 0.00 μB/f.u. The value obtained for the uncorrected formation energy is -1.66 eV per atom.

=====

# 9
Entry from Alexandria via LeMat-Bulk: a relaxed structure of CuOs2C (GGA-PBE).

The space group is I-42d (No. 122) and the conventional cell measures 4.783, 4.783 and 10.798 Å, with angles of 90.00, 90.00 and 90.00 degrees. The distinct sites, in fractional coordinates, are Cu at (0.000, 0.000, 0.000), Os at (0.153, 0.250, 0.625) and C at (0.000, 0.000, 0.500).

The calculation puts the size of the total moment at 0.00 μB/f.u. The energy of formation comes out at 1.2939 eV/atom.

=====

# 10
Entry from Alexandria via LeMat-Bulk: a relaxed structure of Pu2Pd4Au5 (GGA-PBE).

The space group is Fmmm (No. 69) and the conventional cell measures 5.504, 9.139 and 18.297 Å, with angles of 90.00, 90.00 and 90.00 degrees. The distinct sites, in fractional coordinates, are Pu at (0.000, 0.000, 0.131), Pd at (0.000, 0.163, 0.372), Au at (0.000, 0.000, 0.500), Au at (0.250, 0.250, 0.000) and Au at (0.250, 0.250, 0.250).

The calculation puts the size of the total moment at 10.72 μB/f.u. The energy of formation comes out at -0.2761 eV/atom. For the polymorph energy (0 for the lowest one), the calculation gives 0.0322 eV per atom.

=====

# 11
Entry from Alexandria via LeMat-Bulk: a relaxed structure of CaZnP2 (GGA-PBE).

The space group is R-3m (No. 166, hexagonal axes) and the conventional cell measures 4.3104, 4.3104 and 14.4372 Å, with angles of 90.00, 90.00 and 120.00 degrees. The distinct sites, in fractional coordinates, are Ca at (0.0000, 0.0000, 0.0000), Zn at (0.0000, 0.0000, 0.5000) and P at (0.0000, 0.0000, 0.2065).

The calculation puts the size of the total moment at 0.00 μB/f.u. The energy of formation comes out at -0.2773 eV/atom.

=====

# 12
Entry from Alexandria via LeMat-Bulk: a relaxed structure of Hf2BeGaW (GGA-PBE).

The space group is P4/mmm (No. 123) and the conventional cell measures 4.879, 4.879 and 4.601 Å, with angles of 90.00, 90.00 and 90.00 degrees. The distinct sites, in fractional coordinates, are Hf at (0.000, 0.500, 0.000), Be at (0.000, 0.000, 0.500), Ga at (0.500, 0.500, 0.000) and W at (0.500, 0.500, 0.500).

The calculation puts the size of the total moment at 0.00 μB/f.u. The energy of formation comes out at 1.2637 eV/atom.

=====

# 13
Entry from Alexandria via LeMat-Bulk: a relaxed structure of YTmCoHg (GGA-PBE).

The space group is F-43m (No. 216) and the conventional cell measures 7.069, 7.069 and 7.069 Å, with angles of 90.00, 90.00 and 90.00 degrees. The distinct sites, in fractional coordinates, are Y at (0.000, 0.000, 0.000), Tm at (0.000, 0.000, 0.500), Co at (0.250, 0.250, 0.750) and Hg at (0.250, 0.250, 0.250).

The calculation puts the size of the total moment at 0.59 μB/f.u. The energy of formation comes out at -0.2420 eV/atom.

=====

# 14
Entry from Alexandria via LeMat-Bulk: a relaxed structure of La2MnCd (GGA-PBE).

The space group is R3m (No. 160, hexagonal axes) and the conventional cell measures 3.5728, 3.5728 and 30.7199 Å, with angles of 90.00, 90.00 and 120.00 degrees. The distinct sites, in fractional coordinates, are La at (0.0000, 0.0000, 0.0000), La at (0.0000, 0.0000, 0.2295), Mn at (0.0000, 0.0000, 0.7434) and Cd at (0.0000, 0.0000, 0.4739).

The calculation puts the size of the total moment at 3.39 μB/f.u. The energy of formation comes out at 0.2599 eV/atom.

=====

# 15
Entry from Alexandria via LeMat-Bulk: a relaxed structure of Mo3RuBr (GGA-PBE).

The space group is Pm-3m (No. 221) and the conventional cell measures 4.761, 4.761 and 4.761 Å, with angles of 90.00, 90.00 and 90.00 degrees. The distinct sites, in fractional coordinates, are Mo at (0.000, 0.000, 0.500), Ru at (0.000, 0.000, 0.000) and Br at (0.500, 0.500, 0.500).

The calculation puts the size of the total moment at 0.00 μB/f.u. The value obtained for the uncorrected formation energy is 1.80 eV per atom. For the polymorph energy (0 for the lowest one), the calculation gives 0.0000 eV per atom.

=====

# 16
Entry from Alexandria via LeMat-Bulk: a relaxed structure of K2SmCu2O4 (GGA-PBE).

The space group is C2/m (No. 12) and the conventional cell measures 13.392, 3.483 and 6.484 Å, with angles of 90.00, 107.13 and 90.00 degrees. The distinct sites, in fractional coordinates, are K at (0.128, 0.000, 0.055), Sm at (0.000, 0.000, 0.500), Cu at (0.185, 0.500, 0.531), O at (0.037, 0.500, 0.291) and O at (0.191, 0.000, 0.673).

The calculation puts the size of the total moment at 0.71 μB/f.u. The value obtained for the uncorrected formation energy is -1.48 eV per atom.

=====

# 17
Entry from Alexandria via LeMat-Bulk: a relaxed structure of RbPmPbS3 (GGA-PBE).

The space group is P2_1/m (No. 11) and the conventional cell measures 8.021, 4.133 and 12.198 Å, with angles of 90.00, 108.08 and 90.00 degrees. The distinct sites, in fractional coordinates, are Rb at (0.082, 0.250, 0.169), Pm at (0.429, 0.750, 0.848), Pb at (0.274, 0.250, 0.553), S at (0.136, 0.750, 0.642), S at (0.280, 0.250, 0.948) and S at (0.431, 0.750, 0.257).

The calculation puts the size of the total moment at 0.00 μB/f.u. The value obtained for the uncorrected formation energy is -1.36 eV per atom.

=====

# 18
Entry from Alexandria via LeMat-Bulk: a relaxed structure of NaLiCe2O5 (GGA-PBE).

The space group is I4/mcm (No. 140) and the conventional cell measures 6.619, 6.619 and 11.039 Å, with angles of 90.00, 90.00 and 90.00 degrees. The distinct sites, in fractional coordinates, are Na at (0.000, 0.000, 0.250), Li at (0.000, 0.500, 0.250), Ce at (0.176, 0.324, 0.000), O at (0.000, 0.000, 0.000) and O at (0.144, 0.356, 0.376).

The calculation puts the size of the total moment at 0.00 μB/f.u. The value obtained for the uncorrected formation energy is -2.73 eV per atom.

=====

# 19
Entry from Alexandria via LeMat-Bulk: a relaxed structure of LiCuW2 (GGA-PBE).

The space group is F-43m (No. 216) and the conventional cell measures 6.168, 6.168 and 6.168 Å, with angles of 90.00, 90.00 and 90.00 degrees. The distinct sites, in fractional coordinates, are Li at (0.000, 0.000, 0.000), Cu at (0.250, 0.250, 0.750), W at (0.000, 0.000, 0.500) and W at (0.250, 0.250, 0.250).

The calculation puts the size of the total moment at 0.00 μB/f.u. The energy of formation comes out at 0.5388 eV/atom. For the polymorph energy (0 for the lowest one), the calculation gives 0.2930 eV per atom.

=====

# 20
Entry from Alexandria via LeMat-Bulk: a relaxed structure of LiThAgAu (GGA-PBE).

The space group is F-43m (No. 216) and the conventional cell measures 7.092, 7.092 and 7.092 Å, with angles of 90.00, 90.00 and 90.00 degrees. The distinct sites, in fractional coordinates, are Li at (0.000, 0.000, 0.000), Th at (0.000, 0.000, 0.500), Ag at (0.250, 0.250, 0.250) and Au at (0.250, 0.250, 0.750).

The calculation puts the size of the total moment at 0.00 μB/f.u. The energy of formation comes out at -0.3310 eV/atom.